No. 1
ReSi2Tc: relaxed, PBE.

Geometry as extended XYZ:
```
4
Lattice="2.9043 0.0000 0.0000 0.0000 4.3944 0.0000 0.0000 0.0000 4.3010" Properties=species:S:1:pos:R:3 pbc="T T T"
Re 0.0000 0.0000 0.0000
Si 0.0000 2.1972 2.9545
Si 1.4522 0.0000 2.2244
Tc 1.4522 2.1972 0.9056
```

formation energy from raw total energies = -0.2383 eV per atom
calculated total energy = -8.653 eV/atom
M_tot = 0.0 μB/f.u.
theoretical density = 10.297 g cm⁻³
space-group type = Pmm2

No. 2
ReSi2Tc: relaxed, PBE.

Geometry as extended XYZ:
```
4
Lattice="1.4443 0.8339 7.8567 -1.4443 0.8339 7.8567 0.0000 -1.6678 7.8567" Properties=species:S:1:pos:R:3 pbc="T T T"
Re 0.0000 0.0000 0.0000
Si 0.0000 0.0000 11.7195
Si 0.0000 0.0000 17.6057
Tc 0.0000 0.0000 5.7259
```

formation energy from raw total energies = -0.0568 eV per atom
calculated total energy = -8.472 eV/atom
M_tot = 0.0 μB/f.u.
theoretical density = 9.955 g cm⁻³
space-group type = R3m

No. 3
ReSi4Tc: relaxed, PBE.

Geometry as extended XYZ:
```
6
Lattice="5.4684 0.0000 0.0000 0.0000 2.9128 0.0000 -0.0061 0.0000 6.8170" Properties=species:S:1:pos:R:3 pbc="T T T"
Re 0.0000 0.0000 0.0000
Si 1.1975 1.4564 5.3083
Si 1.5076 0.0000 1.9420
Si 3.9546 0.0000 4.8750
Si 4.2647 1.4564 1.5087
Tc 2.7311 1.4564 3.4085
```

formation energy from raw total energies = 0.1026 eV per atom
calculated total energy = -7.315 eV/atom
M_tot = 0.0 μB/f.u.
theoretical density = 6.064 g cm⁻³
space-group type = P2/m

No. 4
ReSiTc2: relaxed, PBE.

Geometry as extended XYZ:
```
4
Lattice="0.0000 3.0462 3.0462 3.0462 0.0000 3.0462 3.0462 3.0462 0.0000" Properties=species:S:1:pos:R:3 pbc="T T T"
Re 0.0000 0.0000 0.0000
Si 1.5231 1.5231 1.5231
Tc 3.0462 3.0462 3.0462
Tc 4.5693 4.5693 4.5693
```

formation energy from raw total energies = 0.0096 eV per atom
calculated total energy = -9.641 eV/atom
M_tot = 0.5 μB/f.u.
theoretical density = 12.051 g cm⁻³
space-group type = F-43m

No. 5
ReSi2Tc: relaxed, PBE.

Geometry as extended XYZ:
```
4
Lattice="0.0000 3.0487 3.0487 3.0487 0.0000 3.0487 3.0487 3.0487 0.0000" Properties=species:S:1:pos:R:3 pbc="T T T"
Re 0.0000 0.0000 0.0000
Si 3.0487 3.0487 3.0487
Si 4.5731 4.5731 4.5731
Tc 1.5244 1.5244 1.5244
```

formation energy from raw total energies = 0.1851 eV per atom
calculated total energy = -8.230 eV/atom
M_tot = 0.0 μB/f.u.
theoretical density = 9.973 g cm⁻³
space-group type = F-43m

No. 6
ReSiTc2: relaxed, PBE.

Geometry as extended XYZ:
```
4
Lattice="1.4710 -2.3200 0.0000 1.4710 2.3200 0.0000 0.0000 0.0000 8.4042" Properties=species:S:1:pos:R:3 pbc="T T T"
Re 0.0000 0.0000 0.0000
Si 0.0000 0.0000 4.2021
Tc 1.4710 0.0000 2.2402
Tc 1.4710 0.0000 6.1639
```

formation energy from raw total energies = 0.0957 eV per atom
calculated total energy = -9.555 eV/atom
M_tot = 0.0 μB/f.u.
theoretical density = 11.877 g cm⁻³
space-group type = Cmmm

No. 7
ReSi2Tc: relaxed, PBE.

Geometry as extended XYZ:
```
4
Lattice="1.5250 -2.2711 0.0000 1.5250 2.2711 0.0000 0.0000 0.0000 8.2600" Properties=species:S:1:pos:R:3 pbc="T T T"
Re 0.0000 0.0000 0.0000
Si 0.0000 0.0000 4.1473
Si 1.5250 0.0000 6.2393
Tc 1.5250 0.0000 2.1916
```

formation energy from raw total energies = 0.2510 eV per atom
calculated total energy = -8.164 eV/atom
M_tot = 0.0 μB/f.u.
theoretical density = 9.879 g cm⁻³
space-group type = Cmm2

No. 8
ReSiTc2: relaxed, PBE.

Geometry as extended XYZ:
```
4
Lattice="2.6780 -3.7496 0.0000 2.6780 3.7496 0.0000 0.0000 0.0000 2.8422" Properties=species:S:1:pos:R:3 pbc="T T T"
Re 0.0000 0.0000 0.0000
Si 2.6780 0.0000 0.0000
Tc 1.3390 1.8748 1.4211
Tc 1.3390 -1.8748 1.4211
```

formation energy from raw total energies = 0.0362 eV per atom
calculated total energy = -9.615 eV/atom
M_tot = 0.0 μB/f.u.
theoretical density = 11.936 g cm⁻³
space-group type = Cmmm